Pr2Mo2O7 | PBE with a Hubbard U | relaxed

Cell lengths 12.0695, 6.8908, 3.8635 Å; angles 90.00, 105.93, 90.00 degrees
With the nearest neighbours (Å) after each atom.
Space group C2/m (No. 12)
Inequivalent atoms, fractional coordinates:
Pr: 0.2215 0.0000 0.2352 x4  8 O 2.43-2.64
Mo: 0.0000 0.2699 0.5000 x4  4 O 1.98-2.02
O: 0.0000 0.0000 0.0000 x2  2 Pr 2.58, 4 Mo 2.68
O: 0.0700 0.5000 0.3117 x4  2 Mo 2.02
O: 0.1643 0.1970 0.6945 x8  1 Mo 1.98

## Properties
Total energy, eV/atom: -7.5798

Pr5Mo2O12 | PBE with a Hubbard U | relaxed

Cell lengths 12.9223, 5.9406, 7.9311 Å; angles 90.00, 107.96, 90.00 degrees
With the nearest neighbours (Å) after each atom.
Space group C2/m (No. 12)
Inequivalent atoms, fractional coordinates:
Pr: 0.0000 0.0000 0.0000 x2  6 O 2.40-2.43
Pr: 0.1861 0.5000 0.3271 x4  7 O 2.40-2.59
Pr: 0.1915 0.5000 0.8577 x4  7 O 2.40-2.59
Mo: 0.0000 0.2168 0.5000 x4  6 O 1.96-2.16
O: 0.9995 0.5000 0.3295 x4  2 Mo 2.16
O: 0.0010 0.0000 0.6984 x4  2 Mo 2.03
O: 0.1562 0.2519 0.0780 x8  4 Pr 2.40-2.43
O: 0.1585 0.2505 0.5778 x8  1 Mo 1.96

## Properties
Total energy, eV/atom: -7.9569

What is the total energy in the first record? -7.5798 eV/atom